This record from the Alexandria database describes a relaxed structure of MgBF2. The functional is GGA-PBE.

## Properties
Total DFT energy (no corrections) in eV per atom: -4.3838
Space-group type: R-3m, No. 166
Density of states at the Fermi level in states/eV per atom: 0.2706

Cell and atoms, written as POSCAR:
```
MgBF2
1.0
8.447 -0.012 -0.007
7.928 2.914 -0.007
7.928 1.405 2.553
Mg F B
1 2 1
Direct
0.500 0.500 0.500 Mg
0.127 0.127 0.127 F
0.873 0.873 0.873 F
0.000 0.000 0.000 B
```



This record from the Alexandria database describes a relaxed structure of MgBF2. The functional is GGA-PBE.

## Properties
Total DFT energy (no corrections) in eV per atom: -4.1210
Space-group type: I-42d, No. 122
Density of states at the Fermi level in states/eV per atom: 0.2201

Cell and atoms, written as POSCAR:
```
MgBF2
1.0
-2.873 2.873 4.482
2.873 -2.873 4.482
2.873 2.873 -4.482
B F Mg
2 4 2
Direct
0.250 0.750 0.500 B
0.500 0.500 0.000 B
0.798 0.125 0.173 F
0.952 0.625 0.827 F
0.375 0.202 0.327 F
0.875 0.048 0.673 F
0.000 0.000 0.000 Mg
0.750 0.250 0.500 Mg
```



This record from the Alexandria database describes a relaxed structure of MgBF. The functional is GGA-PBE.

## Properties
Total DFT energy (no corrections) in eV per atom: -5.0796
Space-group type: R-3m, No. 166
Density of states at the Fermi level in states/eV per atom: 0.1252

Cell and atoms, written as POSCAR:
```
MgBF
1.0
3.080 0.000 0.000
1.540 2.667 0.000
1.540 0.889 8.241
F Mg B
2 2 2
Direct
0.721 0.721 0.836 F
0.279 0.279 0.164 F
0.571 0.571 0.286 Mg
0.429 0.429 0.714 Mg
0.834 0.834 0.498 B
0.166 0.166 0.502 B
```



This record from the Alexandria database describes a relaxed structure of Mg3BF. The functional is GGA-PBE.

## Properties
Total DFT energy (no corrections) in eV per atom: -3.2027
Space-group type: Pm-3m, No. 221
Density of states at the Fermi level in states/eV per atom: 0.0000

Cell and atoms, written as POSCAR:
```
Mg3BF
1.0
4.481 0.000 0.000
0.000 4.481 0.000
0.000 0.000 4.481
Mg B F
3 1 1
Direct
0.500 0.000 0.000 Mg
0.000 0.500 0.000 Mg
0.000 0.000 0.500 Mg
0.000 0.000 0.000 B
0.500 0.500 0.500 F
```



This record from the Alexandria database describes a relaxed structure of MgB2F8. The functional is GGA-PBE.

## Properties
Total DFT energy (no corrections) in eV per atom: -5.7236
Space-group type: C2/c, No. 15
Density of states at the Fermi level in states/eV per atom: 0.0000

Cell and atoms, written as POSCAR:
```
MgB2F8
1.0
6.289 0.000 2.776
2.790 6.211 2.192
0.185 -0.172 8.094
F B Mg
16 4 2
Direct
0.914 0.024 0.810 F
0.783 0.559 0.380 F
0.235 0.201 0.483 F
0.748 0.476 0.690 F
0.279 0.059 0.880 F
0.572 0.265 0.394 F
0.919 0.299 0.017 F
0.428 0.735 0.606 F
0.765 0.799 0.517 F
0.252 0.524 0.310 F
0.086 0.976 0.190 F
0.217 0.441 0.620 F
0.721 0.941 0.120 F
0.081 0.701 0.983 F
0.231 0.235 0.106 F
0.769 0.765 0.894 F
0.666 0.646 0.554 B
0.334 0.354 0.446 B
0.865 0.854 0.946 B
0.135 0.146 0.054 B
0.030 0.250 0.750 Mg
0.970 0.750 0.250 Mg
```



This record from the Alexandria database describes a relaxed structure of MgBF. The functional is GGA-PBE.

## Properties
Total DFT energy (no corrections) in eV per atom: -4.9936
Space-group type: C2/m, No. 12
Density of states at the Fermi level in states/eV per atom: 0.0139

Cell and atoms, written as POSCAR:
```
MgBF
1.0
-1.755 -0.175 3.264
-2.352 -1.707 -1.356
7.075 -10.046 0.372
Mg F B
4 4 4
Direct
0.077 0.500 0.135 Mg
0.077 0.000 0.635 Mg
0.923 0.500 0.865 Mg
0.923 0.000 0.365 Mg
0.784 0.000 0.780 F
0.216 0.000 0.220 F
0.216 0.500 0.720 F
0.784 0.500 0.280 F
0.500 0.743 0.000 B
0.500 0.243 0.500 B
0.500 0.257 0.000 B
0.500 0.757 0.500 B
```



This record from the Alexandria database describes a relaxed structure of MgBF. The functional is GGA-PBE.

## Properties
Total DFT energy (no corrections) in eV per atom: -4.9328
Space-group type: P1, No. 1
Density of states at the Fermi level in states/eV per atom: 0.1418

Cell and atoms, written as POSCAR:
```
MgBF
1.0
-1.171 -0.587 -2.802
-0.358 -4.649 -0.569
-5.446 -1.851 0.967
B Mg F
2 2 2
Direct
0.968 0.027 0.447 B
0.500 0.967 0.444 B
0.233 0.496 0.447 Mg
0.730 0.997 0.950 Mg
0.140 0.299 0.831 F
0.325 0.694 0.063 F
```



This record from the Alexandria database describes a relaxed structure of MgBF. The functional is GGA-PBE.

## Properties
Total DFT energy (no corrections) in eV per atom: -4.9998
Space-group type: C2, No. 5
Density of states at the Fermi level in states/eV per atom: 0.0083

Cell and atoms, written as POSCAR:
```
MgBF
1.0
3.196 0.000 -0.005
0.000 3.728 0.000
-3.134 0.000 11.909
B Mg F
4 4 4
Direct
0.257 0.692 0.500 B
0.743 0.692 0.500 B
0.257 0.192 0.000 B
0.743 0.192 0.000 B
0.361 0.162 0.362 Mg
0.639 0.162 0.638 Mg
0.361 0.662 0.862 Mg
0.639 0.662 0.138 Mg
0.221 0.796 0.220 F
0.779 0.796 0.780 F
0.221 0.296 0.720 F
0.779 0.296 0.280 F
```



This record from the Alexandria database describes a relaxed structure of MgBF. The functional is GGA-PBE.

## Properties
Total DFT energy (no corrections) in eV per atom: -4.3196
Space-group type: Cm, No. 8

Cell and atoms, written as POSCAR:
```
MgBF
1.0
-0.133 -4.455 -0.503
5.038 0.092 -2.146
2.627 2.031 6.253
B Mg F
4 4 4
Direct
0.595 0.850 0.903 B
0.595 0.150 0.903 B
0.595 0.350 0.403 B
0.595 0.650 0.403 B
0.358 0.500 0.645 Mg
0.356 0.000 0.542 Mg
0.356 0.500 0.042 Mg
0.358 0.000 0.145 Mg
0.958 0.744 0.494 F
0.958 0.256 0.494 F
0.958 0.244 0.994 F
0.958 0.756 0.994 F
```



This record from the Alexandria database describes a relaxed structure of MgBF2. The functional is GGA-PBE.

## Properties
Total DFT energy (no corrections) in eV per atom: -3.5537
Space-group type: R-3m, No. 166
Density of states at the Fermi level in states/eV per atom: 0.1328

Cell and atoms, written as POSCAR:
```
MgBF2
1.0
-3.524 5.603 0.266
-4.967 3.746 -2.276
-5.773 3.082 1.025
B Mg F
1 1 2
Direct
0.500 0.500 0.500 B
0.000 0.000 0.000 Mg
0.900 0.900 0.900 F
0.100 0.100 0.100 F
```



> Which value of total DFT energy (no corrections) does entry 6 give?

-4.9936 eV per atom



> What is the total DFT energy (no corrections) in the third record?

-5.0796 eV per atom



> What is the total DFT energy (no corrections) in the eighth record?

-4.9998 eV per atom